Entry 1:
A relaxed structure of MnRe2Br, computed with PBE.

Cell lengths 2.866, 4.652, 4.704 Å; angles 90.00, 90.00, 90.00 degrees
Atoms (fractional coordinates):
Mn 0.000 0.000 0.000
Re 0.000 0.500 0.500
Re 0.500 0.000 0.500
Br 0.500 0.500 0.000

Entry 2:
A relaxed structure of MnRe2Br, computed with PBE.

Cell lengths 5.388, 5.388, 4.284 Å; angles 96.32, 96.32, 31.60 degrees
Atoms (fractional coordinates):
Mn 0.000 0.000 0.000
Re 0.291 0.291 0.786
Re 0.709 0.709 0.214
Br 0.500 0.500 0.500

Entry 3:
A relaxed structure of MnRe2Br, computed with PBE.

Cell lengths 8.671, 8.671, 8.671 Å; angles 19.09, 19.09, 19.09 degrees
Atoms (fractional coordinates):
Mn 0.000 0.000 0.000
Re 0.256 0.256 0.256
Re 0.744 0.744 0.744
Br 0.500 0.500 0.500

Entry 4:
A relaxed structure of Mn2ReBr, computed with PBE.

Cell lengths 4.716, 4.716, 2.956 Å; angles 90.00, 90.00, 109.53 degrees
Atoms (fractional coordinates):
Mn 0.000 0.500 0.000
Mn 0.500 0.000 0.000
Re 0.000 0.000 0.500
Br 0.500 0.500 0.500

Entry 5:
A relaxed structure of Mn2ReBr, computed with PBE.

Cell lengths 3.071, 3.071, 8.310 Å; angles 100.70, 100.70, 60.08 degrees
Atoms (fractional coordinates):
Mn 0.246 0.246 0.239
Mn 0.754 0.754 0.761
Re 0.500 0.500 0.000
Br 0.000 0.000 0.500

Entry 6:
A relaxed structure of MnRe2Br, computed with PBE.

Cell lengths 4.464, 4.464, 4.464 Å; angles 60.00, 60.00, 60.00 degrees
Atoms (fractional coordinates):
Mn 0.000 0.000 0.000
Re 0.500 0.500 0.500
Re 0.750 0.750 0.750
Br 0.250 0.250 0.250

Entry 7:
A relaxed structure of Mn2ReBr, computed with PBE.

Cell lengths 8.655, 8.655, 8.655 Å; angles 19.44, 19.44, 19.44 degrees
Atoms (fractional coordinates):
Mn 0.000 0.000 0.000
Mn 0.255 0.255 0.255
Re 0.738 0.738 0.738
Br 0.513 0.513 0.513

Entry 8:
A relaxed structure of MnRe2Br, computed with PBE.

Cell lengths 3.128, 3.128, 6.662 Å; angles 90.00, 90.00, 90.00 degrees
Atoms (fractional coordinates):
Mn 0.000 0.000 0.000
Re 0.500 0.500 0.189
Re 0.500 0.500 0.811
Br 0.000 0.000 0.500

Entry 9:
A relaxed structure of Mn2ReSeBr, computed with PBE.

Cell lengths 4.232, 4.232, 5.327 Å; angles 90.00, 90.00, 90.00 degrees
Atoms (fractional coordinates):
Mn 0.000 0.500 0.000
Mn 0.500 0.000 0.000
Re 0.000 0.000 0.500
Se 0.500 0.500 0.500
Br 0.500 0.500 0.000

Entry 10:
A relaxed structure of Mn2ReSnBr, computed with PBE.

Cell lengths 6.377, 6.377, 6.310 Å; angles 90.00, 90.00, 90.00 degrees
Atoms (fractional coordinates):
Mn 0.000 0.500 0.000
Mn 0.500 0.000 0.000
Re 0.000 0.000 0.500
Sn 0.500 0.500 0.000
Br 0.500 0.500 0.500

Entry 11:
A relaxed structure of Ti2MnReBr, computed with PBE.

Cell lengths 4.501, 4.501, 4.321 Å; angles 90.00, 90.00, 90.00 degrees
Atoms (fractional coordinates):
Ti 0.000 0.500 0.000
Ti 0.500 0.000 0.000
Mn 0.000 0.000 0.000
Re 0.500 0.500 0.500
Br 0.000 0.000 0.500

Entry 12:
A relaxed structure of MnRhBr, computed with PBE.

Cell lengths 4.346, 4.346, 4.346 Å; angles 60.00, 60.00, 60.00 degrees
Atoms (fractional coordinates):
Mn 0.000 0.000 0.000
Rh 0.250 0.250 0.250
Br 0.500 0.500 0.500

Entry 13:
A relaxed structure of MnRhBr6, computed with PBE.

Cell lengths 6.938, 6.938, 6.467 Å; angles 100.18, 100.18, 124.41 degrees
Atoms (fractional coordinates):
Mn 0.000 0.000 0.000
Rh 0.500 0.500 0.500
Br 0.107 0.391 0.249
Br 0.266 0.266 0.734
Br 0.391 0.107 0.249
Br 0.609 0.893 0.751
Br 0.734 0.734 0.266
Br 0.893 0.609 0.751

Entry 14:
A relaxed structure of MnRhBr, computed with PBE.

Cell lengths 4.335, 4.335, 3.196 Å; angles 90.00, 90.00, 120.00 degrees
Atoms (fractional coordinates):
Mn 0.000 0.000 0.000
Rh 0.667 0.333 0.459
Br 0.333 0.667 0.555

Entry 15:
A relaxed structure of Mn2RhBr8, computed with PBE.

Cell lengths 10.239, 10.239, 9.509 Å; angles 91.18, 91.18, 19.97 degrees
Atoms (fractional coordinates):
Mn 0.158 0.158 0.209
Mn 0.842 0.842 0.791
Rh 0.500 0.500 0.500
Br 0.026 0.026 0.677
Br 0.249 0.249 0.774
Br 0.380 0.380 0.570
Br 0.401 0.401 0.944
Br 0.599 0.599 0.056
Br 0.620 0.620 0.430
Br 0.751 0.751 0.226
Br 0.974 0.974 0.323

Entry 16:
A relaxed structure of MnRhBr, computed with PBE.

Cell lengths 5.768, 5.768, 5.768 Å; angles 148.42, 148.42, 45.27 degrees
Atoms (fractional coordinates):
Mn 0.000 0.000 0.000
Rh 0.367 0.367 0.000
Br 0.679 0.679 0.000

Entry 17:
A relaxed structure of MnRhBr, computed with PBE.

Cell lengths 6.526, 6.214, 3.164 Å; angles 81.18, 70.19, 28.62 degrees
Atoms (fractional coordinates):
Mn 0.000 0.000 0.000
Rh 0.642 0.642 0.358
Br 0.340 0.340 0.660

Entry 18:
A relaxed structure of MnRhBr, computed with PBE.

Cell lengths 3.263, 3.263, 5.842 Å; angles 90.00, 90.00, 120.00 degrees
Atoms (fractional coordinates):
Mn 0.000 0.000 0.000
Rh 0.667 0.333 0.281
Br 0.333 0.667 0.682

Entry 19:
A relaxed structure of Mn2SbRhBr, computed with PBE.

Cell lengths 4.437, 4.437, 5.578 Å; angles 90.00, 90.00, 90.00 degrees
Atoms (fractional coordinates):
Mn 0.000 0.500 0.000
Mn 0.500 0.000 0.000
Sb 0.000 0.000 0.500
Rh 0.500 0.500 0.500
Br 0.000 0.000 0.000

Entry 20:
A relaxed structure of MnSi2RhBr, computed with PBE.

Cell lengths 4.935, 4.935, 4.608 Å; angles 90.00, 90.00, 90.00 degrees
Atoms (fractional coordinates):
Mn 0.000 0.000 0.000
Si 0.000 0.500 0.500
Si 0.500 0.000 0.500
Rh 0.500 0.500 0.000
Br 0.500 0.500 0.500

no.,electronic total energy (eV per formula unit)
1,-31.6
2,-32.7
3,-32.8
4,-29.3
5,-30.8
6,-31.0
7,-30.0
8,-32.6
9,-25.2
10,-24.7
11,-33.0
12,-17.1
13,-30.0
14,-17.0
15,-44.9
16,-17.3
17,-17.4
18,-17.7
19,-25.4
20,-22.0